1.
A relaxed LaEuDyGa crystal. Source: Alexandria via LeMat-Bulk, functional PBE-GGA.

Cell lengths 5.477, 5.477, 5.477 Å; angles 60.00, 60.00, 60.00 degrees
Last column: magnetic moment on the atom in μB.
Positions (direct):
1 La 0.250 0.250 0.250  0.17
2 Dy 0.750 0.750 0.750  0.24
3 Ga 0.000 0.000 0.000  -0.04
4 Eu 0.500 0.500 0.500  6.96

- energy (eV/atom) = -5.804


2.
A relaxed EuDyGaPb crystal. Source: Alexandria via LeMat-Bulk, functional PBE-GGA.

Cell lengths 5.376, 5.376, 5.376 Å; angles 60.00, 60.00, 60.00 degrees
Last column: magnetic moment on the atom in μB.
Positions (direct):
1 Pb 0.000 0.000 0.000  -0.02
2 Eu 0.250 0.250 0.250  6.82
3 Ga 0.500 0.500 0.500  -0.01
4 Dy 0.750 0.750 0.750  0.09

- energy (eV/atom) = -5.841


3.
A relaxed PrEuDyGa crystal. Source: Alexandria via LeMat-Bulk, functional PBE-GGA.

Cell lengths 5.452, 5.452, 5.452 Å; angles 60.00, 60.00, 60.00 degrees
Last column: magnetic moment on the atom in μB.
Positions (direct):
1 Ga 0.750 0.750 0.750  -0.04
2 Pr 0.500 0.500 0.500  0.12
3 Eu 0.250 0.250 0.250  6.93
4 Dy 0.000 0.000 0.000  0.17

- energy (eV/atom) = -5.748


4.
A relaxed EuDyZnGa crystal. Source: Alexandria via LeMat-Bulk, functional PBE-GGA.

Cell lengths 5.170, 5.170, 5.170 Å; angles 60.00, 60.00, 60.00 degrees
Last column: magnetic moment on the atom in μB.
Positions (direct):
1 Eu 0.000 0.000 0.000  6.82
2 Ga 0.250 0.250 0.250  -0.02
3 Dy 0.500 0.500 0.500  0.12
4 Zn 0.750 0.750 0.750  0.02

- energy (eV/atom) = -5.191


5.
A relaxed EuGdDy2 crystal. Source: Alexandria via LeMat-Bulk, functional PBE-GGA.

Cell lengths 5.087, 5.109, 5.109 Å; angles 90.00, 90.00, 90.00 degrees
Last column: magnetic moment on the atom in μB.
Positions (direct):
1 Eu 0.500 0.500 0.500  -6.82
2 Dy 0.000 0.000 0.500  -0.02
3 Dy 0.000 0.500 0.000  -0.02
4 Gd 0.500 0.000 0.000  7.15

- energy (eV/atom) = -8.299


6.
A relaxed EuGdDy2 crystal. Source: Alexandria via LeMat-Bulk, functional PBE-GGA.

Cell lengths 3.536, 3.536, 12.699 Å; angles 82.00, 82.00, 60.00 degrees
Last column: magnetic moment on the atom in μB.
Positions (direct):
1 Eu 0.000 0.000 0.000  7.10
2 Gd 0.500 0.500 0.500  -7.12
3 Dy 0.909 0.909 0.272  0.14
4 Dy 0.091 0.091 0.728  0.14

- energy (eV/atom) = -8.226


7.
A relaxed EuGdDy crystal. Source: Alexandria via LeMat-Bulk, functional PBE-GGA.

Cell lengths 3.655, 3.655, 8.912 Å; angles 90.00, 90.00, 120.00 degrees
Last column: magnetic moment on the atom in μB.
Positions (direct):
1 Gd 0.667 0.333 0.347  -7.20
2 Eu 0.000 0.000 0.996  7.02
3 Dy 0.333 0.667 0.657  0.04

- energy (eV/atom) = -9.603


8.
A relaxed EuGdDy2 crystal. Source: Alexandria via LeMat-Bulk, functional PBE-GGA.

Cell lengths 5.745, 5.745, 5.745 Å; angles 60.00, 60.00, 60.00 degrees
Last column: magnetic moment on the atom in μB.
Positions (direct):
1 Gd 0.500 0.500 0.500  7.27
2 Dy 0.750 0.750 0.750  0.18
3 Dy 0.250 0.250 0.250  0.18
4 Eu 0.000 0.000 0.000  6.86

- energy (eV/atom) = -8.242


9.
A relaxed EuGdDy crystal. Source: Alexandria via LeMat-Bulk, functional PBE-GGA.

Cell lengths 3.645, 3.645, 8.205 Å; angles 102.83, 102.83, 90.00 degrees
Last column: magnetic moment on the atom in μB.
Positions (direct):
1 Gd 0.326 0.326 0.652  -7.18
2 Dy 0.674 0.674 0.348  0.08
3 Eu 0.000 0.000 0.000  -6.94

- energy (eV/atom) = -9.592


10.
A relaxed EuGdDyLu crystal. Source: Alexandria via LeMat-Bulk, functional PBE-GGA.

Cell lengths 5.710, 5.710, 5.710 Å; angles 60.00, 60.00, 60.00 degrees
Last column: magnetic moment on the atom in μB.
Positions (direct):
1 Gd 0.250 0.250 0.250  7.27
2 Lu 0.500 0.500 0.500  0.05
3 Dy 0.000 0.000 0.000  0.06
4 Eu 0.750 0.750 0.750  -6.84

- energy (eV/atom) = -8.222


11.
A relaxed EuGdDyMg crystal. Source: Alexandria via LeMat-Bulk, functional PBE-GGA.

Cell lengths 5.608, 5.608, 5.608 Å; angles 60.00, 60.00, 60.00 degrees
Last column: magnetic moment on the atom in μB.
Positions (direct):
1 Gd 0.250 0.250 0.250  -7.17
2 Mg 0.000 0.000 0.000  0.01
3 Eu 0.500 0.500 0.500  -6.84
4 Dy 0.750 0.750 0.750  -0.02

- energy (eV/atom) = -7.566


12.
A relaxed NdEuGdDy crystal. Source: Alexandria via LeMat-Bulk, functional PBE-GGA.

Cell lengths 5.796, 5.796, 5.796 Å; angles 60.00, 60.00, 60.00 degrees
Last column: magnetic moment on the atom in μB.
Positions (direct):
1 Eu 0.750 0.750 0.750  6.86
2 Dy 0.500 0.500 0.500  0.19
3 Gd 0.250 0.250 0.250  7.32
4 Nd 0.000 0.000 0.000  0.16

- energy (eV/atom) = -8.300